(1)
This record from OQMD via LeMat-Bulk describes a geometry-optimized Pa2Al2O5 structure. The functional is GGA-PBE.

The value obtained for the polymorph energy (0 for the lowest one) is 475 meV per atom. For the calculated total energy, the calculation gives -66.25 eV for the cell shown. As for the total magnetization: 0.00 μB/f.u.

The structure belongs to space group P4/mmm (No. 123); the cell edges are 4.296, 4.296 and 8.583 Å and the angles 90.00°, 90.00° and 90.00°. The asymmetric unit holds Pa at (0.000, 0.000, 0.247), Al at (0.500, 0.500, 0.000), Al at (0.500, 0.500, 0.500), O at (0.000, 0.000, 0.500) and O at (0.000, 0.500, 0.273).



(2)
This record from OQMD via LeMat-Bulk describes a geometry-optimized CsCuNiSe3 structure. The functional is GGA-PBE.

The value obtained for the polymorph energy (0 for the lowest one) is 0 meV per atom. For the calculated total energy, the calculation gives -46.57 eV for the cell shown. As for the total magnetization: 0.03 μB/f.u.

The structure belongs to space group P2_1/m (No. 11); the cell edges are 8.990, 3.823 and 9.837 Å and the angles 90.00°, 115.10° and 90.00°. The asymmetric unit holds Cs at (0.224, 0.250, 0.262), Cu at (0.067, 0.250, 0.587), Ni at (0.334, 0.750, 0.856), Se at (0.158, 0.250, 0.858), Se at (0.232, 0.750, 0.579) and Se at (0.491, 0.750, 0.124).



(3)
This record from OQMD via LeMat-Bulk describes a geometry-optimized AcInTc structure. The functional is GGA-PBE.

For the calculated total energy, the calculation gives -54.63 eV for the cell shown. As for the total magnetization: 1.60 μB/f.u.

The structure belongs to space group F-43m (No. 216); the cell edges are 7.295, 7.295 and 7.295 Å and the angles 90.00°, 90.00° and 90.00°. The asymmetric unit holds Ac at (0.000, 0.000, 0.000), In at (0.250, 0.250, 0.750) and Tc at (0.250, 0.250, 0.250).



(4)
This record from OQMD via LeMat-Bulk describes a geometry-optimized Li4AlInPd2 structure. The functional is GGA-PBE.

For the calculated total energy, the calculation gives -28.59 eV for the cell shown.

The structure belongs to space group P-4m2 (No. 115); the cell edges are 4.377, 4.377 and 6.255 Å and the angles 90.00°, 90.00° and 90.00°. The asymmetric unit holds Li at (0.000, 0.000, 0.000), Li at (0.000, 0.500, 0.239), Li at (0.500, 0.500, 0.500), Al at (0.500, 0.500, 0.000), In at (0.000, 0.000, 0.500) and Pd at (0.000, 0.500, 0.773).



(5)
This record from OQMD via LeMat-Bulk describes a geometry-optimized CsPdPt structure. The functional is GGA-PBE.

The value obtained for the polymorph energy (0 for the lowest one) is 825 meV per atom. For the calculated total energy, the calculation gives -39.45 eV for the cell shown. As for the total magnetization: 0.00 μB/f.u.

The structure belongs to space group F-43m (No. 216); the cell edges are 6.911, 6.911 and 6.911 Å and the angles 90.00°, 90.00° and 90.00°. The asymmetric unit holds Cs at (0.000, 0.000, 0.000), Pd at (0.000, 0.000, 0.500) and Pt at (0.250, 0.250, 0.250).



(6)
This record from OQMD via LeMat-Bulk describes a geometry-optimized CsHfPt structure. The functional is GGA-PBE.

The value obtained for the polymorph energy (0 for the lowest one) is 769 meV per atom. For the calculated total energy, the calculation gives -47.81 eV for the cell shown. As for the total magnetization: 0.01 μB/f.u.

The structure belongs to space group F-43m (No. 216); the cell edges are 6.779, 6.779 and 6.779 Å and the angles 90.00°, 90.00° and 90.00°. The asymmetric unit holds Cs at (0.000, 0.000, 0.000), Hf at (0.250, 0.250, 0.750) and Pt at (0.250, 0.250, 0.250).



(7)
This record from OQMD via LeMat-Bulk describes a geometry-optimized YSiAg2 structure. The functional is GGA-PBE.

For the calculated total energy, the calculation gives -73.90 eV for the cell shown. As for the total magnetization: 0.00 μB/f.u.

The structure belongs to space group F-43m (No. 216); the cell edges are 6.756, 6.756 and 6.756 Å and the angles 90.00°, 90.00° and 90.00°. The asymmetric unit holds Y at (0.000, 0.000, 0.000), Si at (0.250, 0.250, 0.750), Ag at (0.000, 0.000, 0.500) and Ag at (0.250, 0.250, 0.250).



(8)
This record from OQMD via LeMat-Bulk describes a geometry-optimized LiNbHg2 structure. The functional is GGA-PBE.

For the calculated total energy, the calculation gives -44.21 eV for the cell shown. As for the total magnetization: 1.93 μB/f.u.

The structure belongs to space group F-43m (No. 216); the cell edges are 6.720, 6.720 and 6.720 Å and the angles 90.00°, 90.00° and 90.00°. The asymmetric unit holds Li at (0.000, 0.000, 0.000), Nb at (0.250, 0.250, 0.250), Hg at (0.000, 0.000, 0.500) and Hg at (0.250, 0.250, 0.750).



(9)
This record from OQMD via LeMat-Bulk describes a geometry-optimized PtPbSO structure. The functional is GGA-PBE.

The value obtained for the polymorph energy (0 for the lowest one) is 268 meV per atom. For the calculated total energy, the calculation gives -79.65 eV for the cell shown. As for the total magnetization: 0.00 μB/f.u.

The structure belongs to space group P2_12_12_1 (No. 19); the cell edges are 4.942, 8.595 and 9.719 Å and the angles 90.00°, 90.00° and 90.00°. The asymmetric unit holds Pt at (0.238, 0.220, 0.017), Pb at (0.148, 0.673, 0.113), S at (0.014, 0.863, 0.334) and O at (0.085, 0.791, 0.921).



(10)
This record from OQMD via LeMat-Bulk describes a geometry-optimized Li4NiAgSb2 structure. The functional is GGA-PBE.

For the calculated total energy, the calculation gives -27.90 eV for the cell shown. As for the total magnetization: 0.00 μB/f.u.

The structure belongs to space group P-4m2 (No. 115); the cell edges are 4.463, 4.463 and 6.454 Å and the angles 90.00°, 90.00° and 90.00°. The asymmetric unit holds Li at (0.000, 0.000, 0.000), Li at (0.000, 0.500, 0.236), Li at (0.500, 0.500, 0.500), Ni at (0.500, 0.500, 0.000), Ag at (0.000, 0.000, 0.500) and Sb at (0.000, 0.500, 0.774).



(11)
This record from OQMD via LeMat-Bulk describes a geometry-optimized PrSmPO structure. The functional is GGA-PBE.

The value obtained for the polymorph energy (0 for the lowest one) is 164 meV per atom. For the calculated total energy, the calculation gives -54.54 eV for the cell shown. As for the total magnetization: 0.03 μB/f.u.

The structure belongs to space group P4/nmm (No. 129, origin choice 2); the cell edges are 4.432, 4.432 and 9.038 Å and the angles 90.00°, 90.00° and 90.00°. The asymmetric unit holds Pr at (0.250, 0.250, 0.110), Sm at (0.250, 0.750, 0.500), P at (0.250, 0.250, 0.693) and O at (0.250, 0.750, 0.000).



(12)
This record from OQMD via LeMat-Bulk describes a geometry-optimized BeFeCuGe structure. The functional is GGA-PBE.

The value obtained for the polymorph energy (0 for the lowest one) is 100 meV per atom. For the calculated total energy, the calculation gives -78.95 eV for the cell shown. As for the total magnetization: 1.14 μB/f.u.

The structure belongs to space group F-43m (No. 216); the cell edges are 5.654, 5.654 and 5.654 Å and the angles 90.00°, 90.00° and 90.00°. The asymmetric unit holds Be at (0.000, 0.000, 0.000), Fe at (0.000, 0.000, 0.500), Cu at (0.250, 0.250, 0.250) and Ge at (0.250, 0.250, 0.750).



(13)
This record from OQMD via LeMat-Bulk describes a geometry-optimized LuTe structure. The functional is GGA-PBE.

For the calculated total energy, the calculation gives -39.35 eV for the cell shown. As for the total magnetization: 0.00 μB/f.u.

The structure belongs to space group Fm-3m (No. 225); the cell edges are 6.036, 6.036 and 6.036 Å and the angles 90.00°, 90.00° and 90.00°. The asymmetric unit holds Lu at (0.000, 0.000, 0.000) and Te at (0.000, 0.000, 0.500).



(14)
This record from OQMD via LeMat-Bulk describes a geometry-optimized As2IrPb structure. The functional is GGA-PBE.

For the calculated total energy, the calculation gives -78.62 eV for the cell shown. As for the total magnetization: 0.02 μB/f.u.

The structure belongs to space group F-43m (No. 216); the cell edges are 6.792, 6.792 and 6.792 Å and the angles 90.00°, 90.00° and 90.00°. The asymmetric unit holds As at (0.000, 0.000, 0.000), As at (0.250, 0.250, 0.250), Ir at (0.250, 0.250, 0.750) and Pb at (0.000, 0.000, 0.500).



(15)
This record from OQMD via LeMat-Bulk describes a geometry-optimized Sr2ZnCl2O2 structure. The functional is GGA-PBE.

For the calculated total energy, the calculation gives -67.98 eV for the cell shown.

The structure belongs to space group I4/mmm (No. 139); the cell edges are 4.085, 4.085 and 15.298 Å and the angles 90.00°, 90.00° and 90.00°. The asymmetric unit holds Sr at (0.000, 0.000, 0.108), Zn at (0.000, 0.000, 0.500), Cl at (0.000, 0.000, 0.317) and O at (0.000, 0.500, 0.000).



(16)
This record from OQMD via LeMat-Bulk describes a geometry-optimized AlSiPtAu structure. The functional is GGA-PBE.

The value obtained for the polymorph energy (0 for the lowest one) is 0 meV per atom. For the calculated total energy, the calculation gives -77.31 eV for the cell shown. As for the total magnetization: 0.00 μB/f.u.

The structure belongs to space group F-43m (No. 216); the cell edges are 6.317, 6.317 and 6.317 Å and the angles 90.00°, 90.00° and 90.00°. The asymmetric unit holds Al at (0.000, 0.000, 0.000), Si at (0.000, 0.000, 0.500), Pt at (0.250, 0.250, 0.250) and Au at (0.250, 0.250, 0.750).



(17)
This record from OQMD via LeMat-Bulk describes a geometry-optimized GdErGe2Ir structure. The functional is GGA-PBE.

The value obtained for the polymorph energy (0 for the lowest one) is 0 meV per atom. For the calculated total energy, the calculation gives -127.61 eV for the cell shown. As for the total magnetization: 0.00 μB/f.u.

The structure belongs to space group C2/m (No. 12); the cell edges are 10.516, 4.308 and 10.316 Å and the angles 90.00°, 116.76° and 90.00°. The asymmetric unit holds Gd at (0.191, 0.000, 0.118), Er at (0.009, 0.000, 0.331), Ge at (0.020, 0.500, 0.883), Ge at (0.146, 0.500, 0.552) and Ir at (0.229, 0.500, 0.338).



(18)
This record from OQMD via LeMat-Bulk describes a geometry-optimized CsLuSc structure. The functional is GGA-PBE.

The value obtained for the polymorph energy (0 for the lowest one) is 148 meV per atom. For the calculated total energy, the calculation gives -29.64 eV for the cell shown. As for the total magnetization: 0.03 μB/f.u.

The structure belongs to space group F-43m (No. 216); the cell edges are 7.633, 7.633 and 7.633 Å and the angles 90.00°, 90.00° and 90.00°. The asymmetric unit holds Cs at (0.000, 0.000, 0.000), Lu at (0.250, 0.250, 0.750) and Sc at (0.250, 0.250, 0.250).



(19)
This record from OQMD via LeMat-Bulk describes a geometry-optimized Ho3Cu4Sn2Ge2 structure. The functional is GGA-PBE.

The value obtained for the polymorph energy (0 for the lowest one) is 0 meV per atom. For the calculated total energy, the calculation gives -104.56 eV for the cell shown. As for the total magnetization: 0.00 μB/f.u.

The structure belongs to space group Immm (No. 71); the cell edges are 4.335, 6.697 and 14.429 Å and the angles 90.00°, 90.00° and 90.00°. The asymmetric unit holds Ho at (0.000, 0.000, 0.000), Ho at (0.000, 0.500, 0.125), Cu at (0.000, 0.310, 0.340), Sn at (0.000, 0.000, 0.218) and Ge at (0.000, 0.191, 0.500).



(20)
This record from OQMD via LeMat-Bulk describes a geometry-optimized LiHoZnS3 structure. The functional is GGA-PBE.

The value obtained for the polymorph energy (0 for the lowest one) is 0 meV per atom. For the calculated total energy, the calculation gives -114.02 eV for the cell shown. As for the total magnetization: 0.00 μB/f.u.

The structure belongs to space group Pnma (No. 62); the cell edges are 10.617, 3.868 and 12.336 Å and the angles 90.00°, 90.00° and 90.00°. The asymmetric unit holds Li at (0.137, 0.250, 0.018), Ho at (0.012, 0.250, 0.732), Zn at (0.237, 0.250, 0.287), S at (0.064, 0.250, 0.396), S at (0.076, 0.750, 0.887) and S at (0.234, 0.750, 0.169).